Version i
Below is crystalline K2CaCr at its relaxed geometry, with properties calculated at the GGA-PBE level.

abc: 6.2394 6.2394 8.5947
angles: 70.26 70.26 38.30
Last column: magnetic moment on the atom in μB.
Element x y z (fractional)
Cr: 0.2718 0.2718 0.3744  4.13
K: 0.7452 0.7452 0.7218  0.01
K: 0.9274 0.9274 0.0266  0.01
Ca: 0.5555 0.5555 0.3771  0.05

## Properties
- Fermi-level density of states (states/eV/cell) = 2.51

Version ii
Below is crystalline K2CaCr at its relaxed geometry, with properties calculated at the GGA-PBE level.

abc: 4.0774 4.0763 11.7804
angles: 69.87 90.00 90.00
Last column: magnetic moment on the atom in μB.
Element x y z (fractional)
K: 0.5000 0.2180 0.2809  0.00
Cr: 0.5000 0.7882 0.7124  4.08
Ca: 0.0000 0.4278 0.5723  0.04
K: 0.0000 0.0660 0.9344  0.01

## Properties
- Fermi-level density of states (states/eV/cell) = 3.14

Version iii
Below is crystalline K2CaCr at its relaxed geometry, with properties calculated at the GGA-PBE level.

abc: 4.0197 5.9302 7.3928
angles: 90.00 90.00 90.00
Last column: magnetic moment on the atom in μB.
Element x y z (fractional)
K: 0.0000 0.0000 0.9796  0.00
Ca: 0.5000 0.5000 0.2500  0.00
Cr: 0.5000 0.5000 0.7500  4.17
K: 0.0000 0.0000 0.5204  0.00

## Properties
- Fermi-level density of states (states/eV/cell) = 3.39

Energies relative to the most stable structure are version i 10.5; version ii 0.0; version iii 18.7, reported in kJ/mol of atoms.

Version i
Below is crystalline K2CaCr at its relaxed geometry, with properties calculated at the GGA-PBE level.

abc: 3.8954 3.8954 11.8696
angles: 90.00 90.00 90.32
Last column: magnetic moment on the atom in μB.
Element x y z (fractional)
Cr: 0.5000 0.5000 0.7500  4.19
Ca: 0.5000 0.5000 0.2500  -0.02
K: 0.0000 0.0000 0.9587  0.01
K: 0.0000 0.0000 0.5413  0.01

## Properties
- Fermi-level density of states (states/eV/cell) = 3.85

Version ii
Below is crystalline K2CaCr at its relaxed geometry, with properties calculated at the GGA-PBE level.

abc: 10.4209 10.4209 5.0614
angles: 75.96 75.96 22.27
Last column: magnetic moment on the atom in μB.
Element x y z (fractional)
Cr: 0.2500 0.2500 0.2500  4.07
K: 0.9115 0.9115 0.0883  0.00
Ca: 0.7500 0.7500 0.7500  0.04
K: 0.5885 0.5885 0.4117  0.00

## Properties
- Fermi-level density of states (states/eV/cell) = 3.55

Energies relative to the most stable structure are version i 13.1; version ii 0.0, reported in kJ/mol of atoms.

Version i
Below is crystalline Ca2LaCr at its relaxed geometry, with properties calculated at the GGA-PBE level.

abc: 5.6591 3.5916 6.5888
angles: 79.23 90.00 90.00
Last column: magnetic moment on the atom in μB.
Element x y z (fractional)
La: 0.5000 0.7500 0.7500  0.02
Ca: 0.0000 0.0610 0.0156  0.01
Ca: 0.0000 0.4390 0.4844  0.01
Cr: 0.5000 0.2500 0.2500  -3.85

## Properties
- Fermi-level density of states (states/eV/cell) = 4.99

Version ii
Below is crystalline Ca2LaCr at its relaxed geometry, with properties calculated at the GGA-PBE level.

abc: 11.5663 11.5663 11.5663
angles: 18.35 18.35 18.35
Last column: magnetic moment on the atom in μB.
Element x y z (fractional)
Ca: 0.4884 0.4884 0.4884  -0.01
Cr: 0.7500 0.7500 0.7500  3.88
La: 0.2500 0.2500 0.2500  -0.03
Ca: 0.0116 0.0116 0.0116  -0.01

## Properties
- Fermi-level density of states (states/eV/cell) = 5.00

Energies relative to the most stable structure are version i 0.0; version ii 1.7, reported in kJ/mol of atoms.

Version i
Below is crystalline Ca2LaCr at its relaxed geometry, with properties calculated at the GGA-PBE level.

abc: 6.7744 6.7744 6.7744
angles: 146.88 129.04 62.14
Last column: magnetic moment on the atom in μB.
Element x y z (fractional)
Cr: 0.4948 0.4948 0.0000  3.63
La: 0.2960 0.7960 0.5000  -0.14
Ca: 0.9996 0.9996 0.0000  -0.02
Ca: 0.7095 0.2095 0.5000  -0.04

## Properties
- Fermi-level density of states (states/eV/cell) = 3.84

Version ii
Below is crystalline Ca2LaCr at its relaxed geometry, with properties calculated at the GGA-PBE level.

abc: 6.8604 6.8604 3.5327
angles: 78.14 78.14 119.58
Last column: magnetic moment on the atom in μB.
Element x y z (fractional)
Cr: 0.5000 0.0000 0.5000  3.87
La: 0.0000 0.5000 0.5000  -0.07
Ca: 0.0000 0.0000 0.0000  -0.01
Ca: 0.5000 0.5000 0.0000  -0.01

## Properties
- Fermi-level density of states (states/eV/cell) = 5.21

Version iii
Below is crystalline Ca2LaCr at its relaxed geometry, with properties calculated at the GGA-PBE level.

abc: 3.7726 3.7726 9.3625
angles: 90.00 90.00 90.00
Last column: magnetic moment on the atom in μB.
Element x y z (fractional)
Cr: 0.0000 0.0000 0.5095  3.51
La: 0.5000 0.5000 0.6897  -0.14
Ca: 0.5000 0.5000 0.3056  -0.02
Ca: 0.0000 0.0000 0.9952  -0.03

## Properties
- Fermi-level density of states (states/eV/cell) = 5.06

Version iv
Below is crystalline Ca2LaCr at its relaxed geometry, with properties calculated at the GGA-PBE level.

abc: 11.1682 11.1682 11.1682
angles: 19.59 19.59 19.59
Last column: magnetic moment on the atom in μB.
Element x y z (fractional)
La: 0.2314 0.2314 0.2314  -0.11
Ca: 0.0001 0.0001 0.0001  -0.01
Ca: 0.7665 0.7665 0.7665  -0.01
Cr: 0.5021 0.5021 0.5021  3.52

## Properties
- Fermi-level density of states (states/eV/cell) = 4.39

Energies relative to the most stable structure are version i 7.4; version ii 20.6; version iii 0.0; version iv 12.7, reported in kJ/mol of atoms.

Version i
Below is crystalline Ca2LaCr at its relaxed geometry, with properties calculated at the GGA-PBE level.

abc: 6.8294 6.8294 5.6653
angles: 65.50 65.50 33.05
Last column: magnetic moment on the atom in μB.
Element x y z (fractional)
La: 0.2500 0.2500 0.2500  -0.16
Ca: 0.4624 0.4624 0.5376  -0.03
Ca: 0.0376 0.0376 0.9624  -0.03
Cr: 0.7500 0.7500 0.7500  3.69

## Properties
- Fermi-level density of states (states/eV/cell) = 4.71

Version ii
Below is crystalline Ca2LaCr at its relaxed geometry, with properties calculated at the GGA-PBE level.

abc: 6.2305 6.2305 3.6742
angles: 90.00 90.00 111.38
Last column: magnetic moment on the atom in μB.
Element x y z (fractional)
Ca: 0.0000 0.0000 0.0000  0.00
Cr: 0.5000 0.0000 0.5000  -3.93
La: 0.0000 0.5000 0.5000  0.09
Ca: 0.5000 0.5000 0.0000  0.00

## Properties
- Fermi-level density of states (states/eV/cell) = 5.11

Version iii
Below is crystalline Ca2LaCr at its relaxed geometry, with properties calculated at the GGA-PBE level.

abc: 6.5727 6.5727 6.5727
angles: 137.13 137.13 62.24
Last column: magnetic moment on the atom in μB.
Element x y z (fractional)
Ca: 0.5000 0.5000 0.0000  -0.07
Cr: 0.2500 0.7500 0.5000  3.74
La: 0.7500 0.2500 0.5000  -0.24
Ca: 0.0000 0.0000 0.0000  -0.07

## Properties
- Fermi-level density of states (states/eV/cell) = 5.42

Energies relative to the most stable structure are version i 0.0; version ii 13.9; version iii 9.4, reported in kJ/mol of atoms.

Version i
Below is crystalline Ca2LaCr at its relaxed geometry, with properties calculated at the GGA-PBE level.

abc: 3.7189 3.7189 9.5556
angles: 90.00 90.00 89.99
Last column: magnetic moment on the atom in μB.
Element x y z (fractional)
Ca: 0.0000 0.0000 0.0469  0.01
Cr: 0.5000 0.5000 0.2500  3.86
Ca: 0.0000 0.0000 0.4531  0.01
La: 0.5000 0.5000 0.7500  -0.05

## Properties
- Fermi-level density of states (states/eV/cell) = 5.30

Version ii
Below is crystalline Ca2LaCr at its relaxed geometry, with properties calculated at the GGA-PBE level.

abc: 5.6444 5.6444 5.6444
angles: 60.00 60.00 60.00
Last column: magnetic moment on the atom in μB.
Element x y z (fractional)
Ca: 0.2500 0.2500 0.2500  0.00
Cr: 0.5000 0.5000 0.5000  3.79
Ca: 0.0000 0.0000 0.0000  -0.03
La: 0.7500 0.7500 0.7500  0.04

## Properties
- Fermi-level density of states (states/eV/cell) = 3.91

Version iii
Below is crystalline Ca2LaCr at its relaxed geometry, with properties calculated at the GGA-PBE level.

abc: 4.4246 5.1413 5.6913
angles: 90.00 90.00 90.00
Last column: magnetic moment on the atom in μB.
Element x y z (fractional)
Cr: 0.5000 0.0000 0.5000  3.80
Ca: 0.5000 0.5000 0.0000  -0.01
La: 0.0000 0.5000 0.5000  0.00
Ca: 0.0000 0.0000 0.0000  0.00

## Properties
- Fermi-level density of states (states/eV/cell) = 3.95

Energies relative to the most stable structure are version i 3.0; version ii 0.0; version iii 2.4, reported in kJ/mol of atoms.

Version i
Below is crystalline CaLaCr3 at its relaxed geometry, with properties calculated at the GGA-PBE level.

abc: 4.6841 4.6841 4.6841
angles: 90.00 90.00 90.00
Element x y z (fractional)
Cr: 0.0000 0.0000 0.5000
La: 0.5000 0.5000 0.5000
Ca: 0.0000 0.0000 0.0000
Cr: 0.5000 0.0000 0.0000
Cr: 0.0000 0.5000 0.0000

## Properties
- Fermi-level density of states (states/eV/cell) = 11.35

Version ii
Below is crystalline CaLaCr3 at its relaxed geometry, with properties calculated at the GGA-PBE level.

abc: 4.9653 4.9653 4.9653
angles: 90.00 90.00 90.00
Last column: magnetic moment on the atom in μB.
Element x y z (fractional)
Cr: 0.5000 0.0000 0.0000  3.03
Cr: 0.0000 0.0000 0.5000  2.64
La: 0.0000 0.0000 0.0000  0.05
Ca: 0.5000 0.5000 0.5000  -0.03
Cr: 0.0000 0.5000 0.0000  3.01

## Properties
- Fermi-level density of states (states/eV/cell) = 3.12

Energies relative to the most stable structure are version i 63.0; version ii 0.0, reported in kJ/mol of atoms.

Version i
Below is crystalline CaLaCr2 at its relaxed geometry, with properties calculated at the GGA-PBE level.

abc: 4.6816 3.4822 7.4439
angles: 61.37 90.00 90.00
Element x y z (fractional)
Ca: 0.5000 0.7500 0.7500
La: 0.5000 0.2500 0.2500
Cr: 0.0000 0.6062 0.3926
Cr: 0.0000 0.8938 0.1074

## Properties
- Fermi-level density of states (states/eV/cell) = 4.12

Version ii
Below is crystalline CaLaCr2 at its relaxed geometry, with properties calculated at the GGA-PBE level.

abc: 5.2929 5.2929 5.2929
angles: 60.00 60.00 60.00
Last column: magnetic moment on the atom in μB.
Element x y z (fractional)
Cr: 0.7500 0.7500 0.7500  3.63
Cr: 0.2500 0.2500 0.2500  3.63
La: 0.5000 0.5000 0.5000  -0.05
Ca: 0.0000 0.0000 0.0000  -0.01

## Properties
- Fermi-level density of states (states/eV/cell) = 5.15

Energies relative to the most stable structure are version i 20.2; version ii 0.0, reported in kJ/mol of atoms.